An optimized crystal structure of CdCuSi2. Source: Alexandria via LeMat-Bulk, functional GGA-PBE.

Output
- formation energy (no corrections) (eV/atom) = 0.4481
- magnetic moment (μB per atom) = 0.000
- space group = Cmmm, No. 65
- crystal system = orthorhombic

Lattice parameters (Å, degrees): 4.759 4.759 3.208 90.00 90.00 112.48
Fractional positions:
Cd 0.000 0.000 0.000
Cu 0.500 0.500 0.000
Si 0.000 0.500 0.500
Si 0.500 0.000 0.500

An optimized crystal structure of CdCuSi2. Source: Alexandria via LeMat-Bulk, functional GGA-PBE.

Output
- formation energy (no corrections) (eV/atom) = 0.2786
- magnetic moment (μB per atom) = 0.000
- space group = I-42d, No. 122
- crystal system = tetragonal

Lattice parameters (Å, degrees): 8.636 8.636 8.636 151.72 151.72 40.42
Fractional positions:
Cd 0.000 0.000 0.000
Cd 0.750 0.250 0.500
Cu 0.250 0.750 0.500
Cu 0.500 0.500 0.000
Si 0.210 0.625 0.085
Si 0.375 0.460 0.585
Si 0.540 0.125 0.915
Si 0.875 0.790 0.415

An optimized crystal structure of CdCu2Si. Source: Alexandria via LeMat-Bulk, functional GGA-PBE.

Output
- formation energy (no corrections) (eV/atom) = 0.3281
- magnetic moment (μB per atom) = 0.000
- space group = F-43m, No. 216
- crystal system = cubic

Lattice parameters (Å, degrees): 4.429 4.429 4.429 60.00 60.00 60.00
Fractional positions:
Cd 0.000 0.000 0.000
Cu 0.500 0.500 0.500
Cu 0.750 0.750 0.750
Si 0.250 0.250 0.250

An optimized crystal structure of Cd3CuSi. Source: Alexandria via LeMat-Bulk, functional GGA-PBE.

Output
- formation energy (no corrections) (eV/atom) = 0.6616
- magnetic moment (μB per atom) = 0.000
- space group = Pm-3m, No. 221
- crystal system = cubic

Lattice parameters (Å, degrees): 5.114 5.114 5.114 90.00 90.00 90.00
Fractional positions:
Cd 0.000 0.000 0.500
Cd 0.000 0.500 0.000
Cd 0.500 0.000 0.000
Cu 0.500 0.500 0.500
Si 0.000 0.000 0.000

An optimized crystal structure of Cd2CuSi. Source: Alexandria via LeMat-Bulk, functional GGA-PBE.

Output
- formation energy (no corrections) (eV/atom) = 0.3830
- magnetic moment (μB per atom) = 0.000
- space group = F-43m, No. 216
- crystal system = cubic

Lattice parameters (Å, degrees): 4.715 4.715 4.715 60.00 60.00 60.00
Fractional positions:
Cd 0.000 0.000 0.000
Cd 0.250 0.250 0.250
Cu 0.500 0.500 0.500
Si 0.750 0.750 0.750

An optimized crystal structure of Cd2CuSi. Source: Alexandria via LeMat-Bulk, functional GGA-PBE.

Output
- formation energy (no corrections) (eV/atom) = 0.3028
- magnetic moment (μB per atom) = 0.000
- space group = C2/m, No. 12
- crystal system = monoclinic

Lattice parameters (Å, degrees): 5.082 5.082 4.782 96.79 96.79 36.40
Fractional positions:
Cd 0.245 0.245 0.244
Cd 0.755 0.755 0.756
Cu 0.500 0.500 0.000
Si 0.000 0.000 0.500

An optimized crystal structure of Cd3CuSi. Source: Alexandria via LeMat-Bulk, functional GGA-PBE.

Output
- formation energy (no corrections) (eV/atom) = 0.5752
- magnetic moment (μB per atom) = 0.000
- space group = Pm-3m, No. 221
- crystal system = cubic

Lattice parameters (Å, degrees): 4.931 4.931 4.931 90.00 90.00 90.00
Fractional positions:
Cd 0.000 0.000 0.500
Cd 0.000 0.500 0.000
Cd 0.500 0.000 0.000
Cu 0.000 0.000 0.000
Si 0.500 0.500 0.500

An optimized crystal structure of Cd2CuSi. Source: Alexandria via LeMat-Bulk, functional GGA-PBE.

Output
- formation energy (no corrections) (eV/atom) = 0.2723
- magnetic moment (μB per atom) = 0.000
- space group = R-3m, No. 166
- crystal system = trigonal

Lattice parameters (Å, degrees): 10.229 10.229 10.229 16.20 16.20 16.20
Fractional positions:
Cd 0.243 0.243 0.243
Cd 0.757 0.757 0.757
Cu 0.500 0.500 0.500
Si 0.000 0.000 0.000

An optimized crystal structure of CdCuSi. Source: Alexandria via LeMat-Bulk, functional GGA-PBE.

Output
- formation energy (no corrections) (eV/atom) = 0.1516
- magnetic moment (μB per atom) = 0.000
- space group = P1, No. 1
- crystal system = triclinic

Lattice parameters (Å, degrees): 4.026 5.545 5.919 66.16 89.91 68.94
Fractional positions:
Cd 0.000 0.000 0.000
Cd 0.238 0.533 0.661
Cu 0.300 0.406 0.236
Cu 0.500 0.003 0.652
Si 0.719 0.571 0.006
Si 0.933 0.138 0.408

An optimized crystal structure of CdCu2Si. Source: Alexandria via LeMat-Bulk, functional GGA-PBE.

Output
- formation energy (no corrections) (eV/atom) = 0.1652
- magnetic moment (μB per atom) = 0.000
- space group = Cm, No. 8
- crystal system = monoclinic

Lattice parameters (Å, degrees): 4.490 4.490 4.763 99.99 99.99 41.52
Fractional positions:
Cd 0.000 0.000 0.000
Cu 0.495 0.495 0.496
Cu 0.758 0.758 0.289
Si 0.226 0.226 0.653

An optimized crystal structure of Cd2CuSi. Source: Alexandria via LeMat-Bulk, functional GGA-PBE.

Output
- formation energy (no corrections) (eV/atom) = 0.3009
- magnetic moment (μB per atom) = 0.000
- space group = Pmmm, No. 47
- crystal system = orthorhombic

Lattice parameters (Å, degrees): 2.926 4.069 6.050 90.00 90.00 90.00
Fractional positions:
Cd 0.000 0.000 0.238
Cd 0.000 0.000 0.762
Cu 0.500 0.500 0.000
Si 0.500 0.500 0.500

An optimized crystal structure of CdCuSi2. Source: Alexandria via LeMat-Bulk, functional GGA-PBE.

Output
- formation energy (no corrections) (eV/atom) = 0.4273
- magnetic moment (μB per atom) = 0.000
- space group = I4/mmm, No. 139
- crystal system = tetragonal

Lattice parameters (Å, degrees): 5.594 5.594 5.594 141.69 141.69 55.30
Fractional positions:
Cd 0.000 0.000 0.000
Cu 0.500 0.500 0.000
Si 0.250 0.750 0.500
Si 0.750 0.250 0.500